1.
A plane-wave DFT calculation with PBE was carried out for crystalline Pr2ErC at its relaxed geometry.

Output
**Electronic total energy**: -0.4205 Ry per atom
**Spin magnetization**: 0.00 μB/cell
**Density**: 6.7 g/cm3

```
data_Pr2ErC
_symmetry_space_group_name_H-M 'P 1'
_symmetry_Int_Tables_number 1
_cell_length_a 10.208
_cell_length_b 10.208
_cell_length_c 10.208
_cell_angle_alpha 20.56
_cell_angle_beta 20.56
_cell_angle_gamma 20.56
loop_
_symmetry_equiv_pos_as_xyz
'x,y,z'
loop_
_atom_site_label
_atom_site_fract_x
_atom_site_fract_y
_atom_site_fract_z
Pr1 0.118 0.118 0.118
Pr2 0.882 0.882 0.882
Er1 0.000 0.000 0.000
C1 0.500 0.500 0.500
```



2.
A plane-wave DFT calculation with PBE was carried out for crystalline ZrRh at its relaxed geometry.

Output
**Electronic total energy**: -0.6199 Ry per atom
**Spin magnetization**: 0.00 μB/cell
**Density**: 8.3 g/cm3

```
data_ZrRh
_symmetry_space_group_name_H-M 'P 1'
_symmetry_Int_Tables_number 1
_cell_length_a 4.019
_cell_length_b 4.019
_cell_length_c 4.019
_cell_angle_alpha 53.56
_cell_angle_beta 53.56
_cell_angle_gamma 53.56
loop_
_symmetry_equiv_pos_as_xyz
'x,y,z'
loop_
_atom_site_label
_atom_site_fract_x
_atom_site_fract_y
_atom_site_fract_z
Zr1 0.000 0.000 0.000
Rh1 0.500 0.500 0.500
```



3.
A plane-wave DFT calculation with PBE was carried out for crystalline Na4SnSb3Te8 at its relaxed geometry.

Output
**Electronic total energy**: -0.2487 Ry per atom
**Spin magnetization**: 0.00 μB/cell
**Density**: 5.1 g/cm3
**E_form (uncorrected)**: -44.4 kJ/mol of atoms

```
data_Na4SnSb3Te8
_symmetry_space_group_name_H-M 'P 1'
_symmetry_Int_Tables_number 1
_cell_length_a 8.806
_cell_length_b 8.806
_cell_length_c 9.215
_cell_angle_alpha 118.59
_cell_angle_beta 118.59
_cell_angle_gamma 59.99
loop_
_symmetry_equiv_pos_as_xyz
'x,y,z'
loop_
_atom_site_label
_atom_site_fract_x
_atom_site_fract_y
_atom_site_fract_z
Na1 0.000 0.000 0.000
Na2 0.000 0.500 0.000
Na3 0.500 0.000 0.000
Na4 0.500 0.500 0.000
Sn1 0.000 0.000 0.500
Sb1 0.000 0.500 0.500
Sb2 0.500 0.000 0.500
Sb3 0.500 0.500 0.500
Te1 0.245 0.245 0.731
Te2 0.245 0.742 0.731
Te3 0.256 0.256 0.270
Te4 0.258 0.755 0.269
Te5 0.742 0.245 0.731
Te6 0.744 0.744 0.730
Te7 0.755 0.258 0.269
Te8 0.755 0.755 0.269
```



4.
A plane-wave DFT calculation with PBE was carried out for crystalline LiPr2TaO6 at its relaxed geometry.

Output
**Electronic total energy**: -0.6153 Ry per atom
**Spin magnetization**: 0.00 μB/cell
**Density**: 7.2 g/cm3
**E_form (uncorrected)**: -295.6 kJ/mol of atoms

```
data_LiPr2TaO6
_symmetry_space_group_name_H-M 'P 1'
_symmetry_Int_Tables_number 1
_cell_length_a 5.586
_cell_length_b 5.874
_cell_length_c 9.658
_cell_angle_alpha 90.00
_cell_angle_beta 124.46
_cell_angle_gamma 90.00
loop_
_symmetry_equiv_pos_as_xyz
'x,y,z'
loop_
_atom_site_label
_atom_site_fract_x
_atom_site_fract_y
_atom_site_fract_z
Li1 0.000 0.000 0.000
Li2 0.000 0.500 0.500
Pr1 0.231 0.063 0.747
Pr2 0.231 0.437 0.247
Pr3 0.769 0.563 0.753
Pr4 0.769 0.937 0.253
Ta1 0.500 0.000 0.500
Ta2 0.500 0.500 0.000
O1 0.159 0.185 0.450
O2 0.159 0.315 0.950
O3 0.260 0.714 0.441
O4 0.260 0.786 0.941
O5 0.367 0.039 0.260
O6 0.367 0.461 0.760
O7 0.633 0.539 0.240
O8 0.633 0.961 0.740
O9 0.740 0.214 0.059
O10 0.740 0.286 0.559
O11 0.841 0.685 0.050
O12 0.841 0.815 0.550
```



5.
A plane-wave DFT calculation with PBE was carried out for crystalline Li3Tl2Au at its relaxed geometry.

Output
**Electronic total energy**: -0.1938 Ry per atom
**Spin magnetization**: 0.00 μB/cell
**Density**: 9.1 g/cm3

```
data_Li3Tl2Au
_symmetry_space_group_name_H-M 'P 1'
_symmetry_Int_Tables_number 1
_cell_length_a 3.305
_cell_length_b 3.305
_cell_length_c 10.455
_cell_angle_alpha 90.00
_cell_angle_beta 90.00
_cell_angle_gamma 90.00
loop_
_symmetry_equiv_pos_as_xyz
'x,y,z'
loop_
_atom_site_label
_atom_site_fract_x
_atom_site_fract_y
_atom_site_fract_z
Li1 0.000 0.000 0.000
Li2 0.000 0.000 0.366
Li3 0.000 0.000 0.634
Tl1 0.500 0.500 0.186
Tl2 0.500 0.500 0.814
Au1 0.500 0.500 0.500
```



6.
A plane-wave DFT calculation with PBE was carried out for crystalline Sc2FeS4 at its relaxed geometry.

Output
**Electronic total energy**: -0.4980 Ry per atom
**Spin magnetization**: 8.00 μB/cell
**Density**: 3.2 g/cm3
**E_form (uncorrected)**: -135.0 kJ/mol of atoms

```
data_Sc2FeS4
_symmetry_space_group_name_H-M 'P 1'
_symmetry_Int_Tables_number 1
_cell_length_a 7.420
_cell_length_b 7.420
_cell_length_c 7.420
_cell_angle_alpha 60.00
_cell_angle_beta 60.00
_cell_angle_gamma 60.00
loop_
_symmetry_equiv_pos_as_xyz
'x,y,z'
loop_
_atom_site_label
_atom_site_fract_x
_atom_site_fract_y
_atom_site_fract_z
Sc1 0.000 0.000 0.000
Sc2 0.000 0.000 0.500
Sc3 0.000 0.500 0.000
Sc4 0.500 0.000 0.000
Fe1 0.375 0.375 0.375
Fe2 0.625 0.625 0.625
S1 0.239 0.754 0.754
S2 0.246 0.246 0.246
S3 0.246 0.246 0.761
S4 0.246 0.761 0.246
S5 0.754 0.239 0.754
S6 0.754 0.754 0.239
S7 0.754 0.754 0.754
S8 0.761 0.246 0.246
```



7.
A plane-wave DFT calculation with PBE was carried out for crystalline ScTl2P at its relaxed geometry.

Output
**Electronic total energy**: -0.3083 Ry per atom
**Spin magnetization**: 0.00 μB/cell
**Density**: 9.0 g/cm3

```
data_ScTl2P
_symmetry_space_group_name_H-M 'P 1'
_symmetry_Int_Tables_number 1
_cell_length_a 5.556
_cell_length_b 5.556
_cell_length_c 5.556
_cell_angle_alpha 133.08
_cell_angle_beta 133.08
_cell_angle_gamma 68.53
loop_
_symmetry_equiv_pos_as_xyz
'x,y,z'
loop_
_atom_site_label
_atom_site_fract_x
_atom_site_fract_y
_atom_site_fract_z
Sc1 0.000 0.000 0.000
Tl1 0.250 0.750 0.500
Tl2 0.500 0.500 0.000
P1 0.750 0.250 0.500
```



8.
A plane-wave DFT calculation with PBE was carried out for crystalline NdSm6Dy3Ho2 at its relaxed geometry.

Output
**Electronic total energy**: -0.3422 Ry per atom
**Spin magnetization**: 0.00 μB/cell
**Density**: 7.9 g/cm3

```
data_NdSm6Dy3Ho2
_symmetry_space_group_name_H-M 'P 1'
_symmetry_Int_Tables_number 1
_cell_length_a 6.227
_cell_length_b 6.227
_cell_length_c 11.886
_cell_angle_alpha 95.00
_cell_angle_beta 95.00
_cell_angle_gamma 119.98
loop_
_symmetry_equiv_pos_as_xyz
'x,y,z'
loop_
_atom_site_label
_atom_site_fract_x
_atom_site_fract_y
_atom_site_fract_z
Nd1 0.000 0.000 0.000
Sm1 0.084 0.418 0.251
Sm2 0.250 0.250 0.749
Sm3 0.418 0.084 0.251
Sm4 0.582 0.916 0.749
Sm5 0.750 0.750 0.251
Sm6 0.916 0.582 0.749
Dy1 0.167 0.833 0.500
Dy2 0.500 0.500 0.500
Dy3 0.833 0.167 0.500
Ho1 0.333 0.667 0.000
Ho2 0.667 0.333 0.000
```